The following is a GGA-PBE calculation of a geometry-optimized ReNiB2 structure, from Alexandria via LeMat-Bulk.

Results
Magnetic moment in μB per cell: 0.00
ΔH_f (0 K) in meV per atom: 701
Excess energy over the best structure of this formula in the dataset in meV/atom: 477
Total DFT energy (no corrections) in eV for the cell shown: -115.13

abc: 4.6578 4.6578 9.0964
angles: 90.00 90.00 90.00
Space group I-42d (No. 122)
Inequivalent atoms, fractional coordinates:
Re (0.0000, 0.0000, 0.0000)
Ni (0.0000, 0.0000, 0.5000)
B (0.2304, 0.2500, 0.6250)



The following is a GGA-PBE calculation of a geometry-optimized BaZr4 structure, from Alexandria via LeMat-Bulk.

Results
Magnetic moment in μB per cell: 0.00
ΔH_f (0 K) in meV per atom: 346
Excess energy over the best structure of this formula in the dataset in meV/atom: 0
Total DFT energy (no corrections) in eV for the cell shown: -68.77

abc: 9.1805 9.1805 3.3071
angles: 90.00 90.00 90.00
Space group I4/m (No. 87)
Inequivalent atoms, fractional coordinates:
Ba (0.0000, 0.0000, 0.0000)
Zr (0.1202, 0.3435, 0.5000)



The following is a GGA-PBE calculation of a geometry-optimized LiBeV structure, from Alexandria via LeMat-Bulk.

Results
Magnetic moment in μB per cell: 0.00
ΔH_f (0 K) in meV per atom: 188
Excess energy over the best structure of this formula in the dataset in meV/atom: 47
Total DFT energy (no corrections) in eV for the cell shown: -56.78

abc: 3.2308 12.2208 3.7657
angles: 90.00 90.00 90.00
Space group Cmmm (No. 65)
Inequivalent atoms, fractional coordinates:
Li (0.0000, 0.0000, 0.0000)
Li (0.0000, 0.5000, 0.5000)
Be (0.0000, 0.1876, 0.5000)
V (0.0000, 0.3193, 0.0000)



The following is a GGA-PBE calculation of a geometry-optimized Mg3AsC structure, from Alexandria via LeMat-Bulk.

Results
Magnetic moment in μB per cell: 0.00
ΔH_f (0 K) in meV per atom: -65
Excess energy over the best structure of this formula in the dataset in meV/atom: 0
Total DFT energy (no corrections) in eV for the cell shown: -18.98

abc: 4.3633 4.3633 4.3633
angles: 90.00 90.00 90.00
Space group Pm-3m (No. 221)
Inequivalent atoms, fractional coordinates:
Mg (0.0000, 0.0000, 0.5000)
As (0.5000, 0.5000, 0.5000)
C (0.0000, 0.0000, 0.0000)



The following is a GGA-PBE calculation of a geometry-optimized GdUC4 structure, from Alexandria via LeMat-Bulk.

Results
Magnetic moment in μB per cell: 8.11
ΔH_f (0 K) in meV per atom: -70
Total DFT energy (no corrections) in eV for the cell shown: -62.68

abc: 3.6055 3.6055 6.1812
angles: 90.00 90.00 90.00
Space group P4/mmm (No. 123)
Inequivalent atoms, fractional coordinates:
Gd (0.0000, 0.0000, 0.0000)
U (0.5000, 0.5000, 0.5000)
C (0.0000, 0.0000, 0.3910)
C (0.5000, 0.5000, 0.1062)



The following is a GGA-PBE calculation of a geometry-optimized SrPt2Pb structure, from Alexandria via LeMat-Bulk.

Results
Magnetic moment in μB per cell: 0.00
ΔH_f (0 K) in meV per atom: -513
Total DFT energy (no corrections) in eV for the cell shown: -39.05

abc: 4.2293 4.2043 10.7664
angles: 90.00 90.00 90.00
Space group Amm2 (No. 38)
Inequivalent atoms, fractional coordinates:
Sr (0.0000, 0.0000, 0.0000)
Pt (0.0000, 0.0000, 0.2786)
Pt (0.5000, 0.0000, 0.4426)
Pb (0.5000, 0.0000, 0.7084)